Arrangement i

Material: TaMn3Se
Method: DFT, PBE
State: relaxed

Lattice parameters (Å, degrees): 4.734 4.734 4.734 90.00 90.00 90.00
Space group Pm-3m (No. 221)
Symmetry-distinct sites (fractional):
Ta: 0.000 0.000 0.000 [1 per cell]
Mn: 0.000 0.000 0.500 [3 per cell]
Se: 0.500 0.500 0.500 [1 per cell]

theoretical density	6.65	g cm⁻³

***

Arrangement ii

Material: TaMn3Se
Method: DFT, PBE
State: relaxed

Lattice parameters (Å, degrees): 4.431 4.431 4.431 90.00 90.00 90.00
Space group Pm-3m (No. 221)
Symmetry-distinct sites (fractional):
Ta: 0.000 0.000 0.000 [1 per cell]
Mn: 0.000 0.500 0.500 [3 per cell]
Se: 0.500 0.500 0.500 [1 per cell]

theoretical density	8.11	g cm⁻³

***

Of them, the most stable is arrangement ii and the least stable is arrangement i.

***

Arrangement i

Material: Mn2TeSe
Method: DFT, PBE
State: relaxed

Lattice parameters (Å, degrees): 3.767 7.906 7.475 90.00 90.00 90.00
Space group Cmmm (No. 65)
Symmetry-distinct sites (fractional):
Mn: 0.000 0.000 0.231 [4 per cell]
Te: 0.000 0.500 0.500 [2 per cell]
Se: 0.000 0.500 0.000 [2 per cell]

theoretical density	4.72	g cm⁻³

***

Arrangement ii

Material: Mn2TeSe
Method: DFT, PBE
State: relaxed

Lattice parameters (Å, degrees): 4.644 4.644 3.294 90.00 90.00 90.00
Space group P4/mmm (No. 123)
Symmetry-distinct sites (fractional):
Mn: 0.000 0.500 0.000 [2 per cell]
Te: 0.000 0.000 0.500 [1 per cell]
Se: 0.500 0.500 0.500 [1 per cell]

theoretical density	7.40	g cm⁻³

***

Of them, the most stable is arrangement i and the least stable is arrangement ii.

***

Arrangement i

Material: Mn2TeSe
Method: DFT, PBE
State: relaxed

Lattice parameters (Å, degrees): 6.882 6.882 6.882 90.00 90.00 90.00
Space group F-43m (No. 216)
Symmetry-distinct sites (fractional):
Mn: 0.000 0.000 0.000 [4 per cell]
Mn: 0.250 0.250 0.250 [4 per cell]
Te: 0.250 0.250 0.750 [4 per cell]
Se: 0.000 0.000 0.500 [4 per cell]

theoretical density	6.45	g cm⁻³

***

Arrangement ii

Material: Mn2TeSe
Method: DFT, PBE
State: relaxed

Lattice parameters (Å, degrees): 7.651 7.437 4.251 90.00 117.13 90.00
Space group C2/m (No. 12)
Symmetry-distinct sites (fractional):
Mn: 0.250 0.250 0.000 [4 per cell]
Te: 0.000 0.000 0.000 [2 per cell]
Se: 0.000 0.500 0.000 [2 per cell]

theoretical density	4.88	g cm⁻³

***

Of them, the most stable is arrangement ii and the least stable is arrangement i.

***

Arrangement i

Material: MnTe3Se
Method: DFT, PBE
State: relaxed

Lattice parameters (Å, degrees): 4.999 4.999 4.999 90.00 90.00 90.00
Space group Pm-3m (No. 221)
Symmetry-distinct sites (fractional):
Mn: 0.000 0.000 0.000 [1 per cell]
Te: 0.000 0.000 0.500 [3 per cell]
Se: 0.500 0.500 0.500 [1 per cell]

theoretical density	6.87	g cm⁻³

***

Arrangement ii

Material: MnTe3Se
Method: DFT, PBE
State: relaxed

Lattice parameters (Å, degrees): 5.416 5.416 5.416 90.00 90.00 90.00
Space group Pm-3m (No. 221)
Symmetry-distinct sites (fractional):
Mn: 0.000 0.000 0.000 [1 per cell]
Te: 0.000 0.500 0.500 [3 per cell]
Se: 0.500 0.500 0.500 [1 per cell]

theoretical density	5.40	g cm⁻³

***

Of them, the most stable is arrangement i and the least stable is arrangement ii.